1.
{
  "formula": "SmPaAl6",
  "functional": "GGA-PBE",
  "state": "optimized geometry",
  "vol_a3_per_cell": 160.76,
  "e_tot_ev_per_cell": -39.5,
  "lattice_angstrom": [[6.3420, 0.0000, 0.0000], [-3.1710, 5.4924, 0.0000], [0.0000, 0.0000, 4.6140]],
  "species": ["Sm", "Pa", "Al", "Al", "Al", "Al", "Al", "Al"],
  "fractional_positions": [[0.0000, 0.0000, 0.0000], [0.3333, 0.6667, 0.5000], [0.3765, 0.1882, 0.5000], [0.5205, 0.0410, 0.0000], [0.5205, 0.4795, 0.0000], [0.8118, 0.1882, 0.5000], [0.8118, 0.6235, 0.5000], [0.9590, 0.4795, 0.0000]]
}

=====

2.
{
  "formula": "YThP2Ir5",
  "functional": "GGA-PBE",
  "state": "optimized geometry",
  "vol_a3_per_cell": 180.56,
  "e_tot_ev_per_cell": -75.0,
  "lattice_angstrom": [[4.0692, 0.0000, 0.0000], [0.0000, 4.0692, 0.0000], [0.0000, 0.0000, 10.9040]],
  "species": ["Y", "Th", "P", "P", "Ir", "Ir", "Ir", "Ir", "Ir"],
  "fractional_positions": [[0.0000, 0.0000, 0.0000], [0.0000, 0.0000, 0.5000], [0.5000, 0.5000, 0.2894], [0.5000, 0.5000, 0.7106], [0.0000, 0.5000, 0.1984], [0.0000, 0.5000, 0.8016], [0.5000, 0.0000, 0.1984], [0.5000, 0.0000, 0.8016], [0.5000, 0.5000, 0.5000]]
}